[1]
Here is a relaxed PmErGa crystal from Alexandria via LeMat-Bulk. Energies are from PBE.

abc: 3.506 3.506 7.030
angles: 104.44 104.44 90.00
Fractional coordinates of all 3 atoms:
Ga1 0.622 0.622 0.243
Er1 0.259 0.259 0.518
Pm1 0.969 0.969 0.939

Calculated values
As for the total energy: -4.47 eV per atom.

[2]
Here is a relaxed Pm2ErGa crystal from Alexandria via LeMat-Bulk. Energies are from PBE.

abc: 4.817 4.771 4.771
angles: 90.00 90.00 90.00
Fractional coordinates of all 4 atoms:
Pm1 0.000 0.000 0.500
Er1 0.500 0.000 0.000
Ga1 0.500 0.500 0.500
Pm2 0.000 0.500 0.000

Calculated values
As for the total energy: -4.51 eV per atom.

[3]
Here is a relaxed PmEr2Ga2 crystal from Alexandria via LeMat-Bulk. Energies are from PBE.

abc: 3.700 8.254 8.254
angles: 90.00 90.00 90.00
Fractional coordinates of all 10 atoms:
Er1 0.000 0.673 0.327
Er2 0.000 0.827 0.827
Pm1 0.500 0.500 0.000
Ga1 0.500 0.878 0.122
Er3 0.000 0.327 0.673
Ga2 0.500 0.622 0.622
Er4 0.000 0.173 0.173
Pm2 0.500 0.000 0.500
Ga3 0.500 0.122 0.878
Ga4 0.500 0.378 0.378

Calculated values
As for the total energy: -4.44 eV per atom.

[4]
Here is a relaxed Pm5ErGa8 crystal from Alexandria via LeMat-Bulk. Energies are from PBE.

abc: 7.644 7.644 7.644
angles: 108.91 110.60 108.91
Fractional coordinates of all 14 atoms:
Pm1 0.755 0.637 0.627
Ga1 0.961 0.089 0.693
Pm2 0.373 0.128 0.009
Ga2 0.136 0.745 0.551
Ga3 0.128 0.732 0.039
Ga4 0.806 0.255 0.390
Pm3 0.991 0.363 0.119
Ga5 0.604 0.911 0.872
Ga6 0.307 0.268 0.396
Pm4 0.881 0.872 0.245
Ga7 0.449 0.584 0.194
Pm5 0.500 0.000 0.500
Er1 0.250 0.500 0.750
Ga8 0.610 0.416 0.864

Calculated values
As for the total energy: -4.24 eV per atom.

Number 1: formation energy from the elements -0.3580 eV per atom. Number 2: formation energy from the elements -0.2339 eV per atom. Number 3: formation energy from the elements -0.4581 eV per atom. Number 4: formation energy from the elements -0.4913 eV per atom.